Computed, not measured: a crystal of Li3SbP2O8 relaxed with PBEsol at the meta-GGA SCAN level of DFT.

Properties
Distance to the lowest polymorph of the same formula = 0.263 eV/f.u.
Raw formation energy = -2.3085 eV/atom
Density of states at the Fermi level = 0.000 states/eV per cell

Cell and atoms, written as extended XYZ:
```
42
Lattice="-6.073 4.470 -3.279 -3.416 -3.917 -6.372 -7.345 -3.080 2.045" Properties=species:S:1:pos:R:3 pbc="T T T"
O -9.292 -5.466 -4.467
O -8.661 -4.261 -2.232
O -7.304 -4.205 -5.519
O -11.594 0.296 -1.286
O -9.449 -0.254 -5.353
O -10.898 -1.952 -7.138
O -9.295 -2.906 -4.812
O -7.332 -2.179 -2.130
O -6.356 -1.418 -4.542
O -12.327 0.060 -4.643
O -7.980 -3.250 0.051
O -9.938 -1.547 -0.572
O -6.157 -0.600 -0.330
O -4.916 1.044 -3.623
O -8.263 1.923 -5.433
O -7.396 0.431 -2.855
O -4.569 -2.792 -3.116
O -9.519 1.553 -2.265
O -10.372 -1.211 -2.991
O -7.490 2.934 -3.088
O -7.032 -1.077 -6.895
O -12.031 -3.402 -4.150
O -5.182 -2.785 -6.296
O -8.781 0.716 -7.652
Sb -14.230 -2.137 -6.430
Sb -5.691 -0.855 -2.572
Sb -2.591 -0.389 -1.171
Li -11.135 -1.672 -5.032
Li -16.795 -2.522 -7.589
Li -10.607 0.547 -3.699
Li -6.629 1.554 -4.435
Li -8.026 -1.193 -0.430
Li -8.531 -1.281 -3.855
Li -10.237 -3.368 -3.216
Li -5.886 -3.445 -4.417
Li -8.982 -1.657 -6.562
P -8.833 -4.256 -5.377
P -8.008 1.722 -2.167
P -11.009 -1.141 -1.596
P -9.264 1.027 -6.178
P -5.806 -1.328 -6.026
P -7.531 -3.598 -1.453
```